## Ce3Sn5Pb (PBE-GGA)

Data for crystalline Ce3Sn5Pb at its relaxed geometry.

The structure in extended XYZ format:
```
18
Lattice="9.4334 0.0000 0.0000 -4.7167 8.1696 0.0000 0.0000 0.0000 6.5924" Properties=species:S:1:pos:R:3 pbc="T T T"
Ce -1.7638 3.0550 1.6481
Ce -2.9529 5.1146 4.9443
Ce 3.5276 0.0000 1.6481
Ce 1.7638 3.0550 4.9443
Ce 5.9059 0.0000 4.9443
Ce 2.9529 5.1146 1.6481
Sn -1.4011 2.4268 4.9443
Sn -3.3156 5.7428 1.6481
Sn 2.8022 0.0000 4.9443
Sn 1.4011 2.4268 1.6481
Sn 0.0000 5.4464 0.0000
Sn 0.0000 5.4464 3.2962
Sn 4.7167 2.7232 0.0000
Sn 4.7167 2.7232 3.2962
Sn 6.6313 0.0000 1.6481
Sn 3.3156 5.7428 4.9443
Pb 0.0000 0.0000 0.0000
Pb 0.0000 0.0000 3.2962
```

Results
The value obtained for the formation enthalpy at 0 K is -0.42 eV/atom. As for the total energy: -5.034 eV/atom. The calculation puts the spin magnetization at 3.671 Bohr magnetons per cell. Its calculated volume is 508 Å³ per cell. As for the space-group type: P6_3/mcm (193).